Entry 1:
Entry from the Alexandria database: Tb2Sm4MgSc after structural relaxation (PBE-GGA).

Formation enthalpy at 0 K in eV/atom: 0.02
E in eV per atom: -4.486
Space-group type: P2/m, No. 10

POSCAR file:
```
Tb2Sm4MgSc
1.0
5.012 0.000 0.000
0.000 5.010 0.000
-0.008 0.000 9.776
Tb Sm Mg Sc
2 4 1 1
Cartesian
0.000 0.000 0.000
2.502 2.505 4.888
5.008 2.505 2.427
-0.004 2.505 7.349
2.501 0.000 2.426
2.503 0.000 7.350
-0.004 0.000 4.888
2.506 2.505 0.000
```

=====

Entry 2:
Entry from the Alexandria database: MgAgPt2 after structural relaxation (PBE-GGA).

Formation enthalpy at 0 K in eV/atom: -0.38
E in eV per atom: -4.511
Space-group type: Cm, No. 8

POSCAR file:
```
MgAgPt2
1.0
4.729 -1.453 0.000
4.729 1.453 0.000
-0.904 0.000 4.773
Mg Ag Pt
1 1 2
Cartesian
0.000 0.000 0.000
6.942 0.000 1.287
1.717 0.000 3.668
4.378 0.000 2.443
```

=====

Entry 3:
Entry from the Alexandria database: TaSb2TeCl after structural relaxation (PBE-GGA).

Formation energy without anion corrections in eV per atom: 0.14
E in eV per atom: -4.879
Polymorph energy (0 for the lowest one) in eV/f.u.: 0.00
Space-group type: P4/mmm, No. 123

POSCAR file:
```
TaSb2TeCl
1.0
5.376 0.000 0.000
0.000 5.376 0.000
0.000 0.000 5.290
Ta Sb Te Cl
1 2 1 1
Cartesian
0.000 0.000 0.000
0.000 2.688 0.000
2.688 0.000 0.000
0.000 0.000 2.645
2.688 2.688 2.645
```